No. 1
! GGA-PBE LiMnCo2Tc, optimized geometry; values from VASP
&SYSTEM
  ibrav = 0, nat = 5, ntyp = 4
/
ATOMIC_SPECIES
Li 6.94 Li.upf
Co 58.93 Co.upf
Tc 98.00 Tc.upf
Mn 54.94 Mn.upf
ATOMIC_POSITIONS angstrom
Li -3.195 1.212 1.857
Co -1.215 1.766 -0.585
Co -0.062 0.660 2.121
Tc 0.000 0.000 0.000
Mn -1.918 -1.213 0.321
CELL_PARAMETERS angstrom
-2.429 3.532 -1.170
-3.836 -2.426 0.642
-0.124 1.319 4.241
! **Theoretical density**: 5.10 g cm⁻³
! **Final energy**: -5.989 eV per atom
! **Magnetization**: 3.8 μB per cell
! **Symmetry**: No. 123

=====

No. 2
! GGA-PBE TlInSn3, optimized geometry; values from VASP
&SYSTEM
  ibrav = 0, nat = 10, ntyp = 3
/
ATOMIC_SPECIES
Sn 118.71 Sn.upf
Tl 204.38 Tl.upf
In 114.82 In.upf
ATOMIC_POSITIONS angstrom
Sn -3.791 -3.744 6.352
Sn -1.494 -5.383 8.026
Tl -3.719 -3.263 2.784
In 0.557 -3.119 6.560
Sn -1.219 -4.976 4.550
Tl -1.812 -1.355 4.775
Sn 0.043 1.005 3.202
Sn 0.695 -2.711 3.062
Sn -1.740 -0.873 1.207
In -3.270 -7.240 6.016
CELL_PARAMETERS angstrom
-0.626 3.065 3.858
-6.268 -2.911 1.295
2.817 -5.741 5.017
! **Theoretical density**: 7.94 g cm⁻³
! **Magnetization**: 0.0 μB per cell
! **E above lowest polymorph**: 0.000 eV/atom
! **Symmetry**: No. 11

=====

No. 3
! GGA-PBE Tl5AuO4, optimized geometry; values from VASP
&SYSTEM
  ibrav = 0, nat = 20, ntyp = 3
/
ATOMIC_SPECIES
O 16.00 O.upf
Tl 204.38 Tl.upf
Au 196.97 Au.upf
ATOMIC_POSITIONS angstrom
O 6.125 2.032 0.000
O 1.459 5.792 5.211
Tl 1.845 5.749 2.748
Tl 5.739 1.989 2.463
Tl 1.845 1.771 2.748
O 6.125 5.489 0.000
O 0.257 3.760 8.334
Au 6.260 0.000 0.000
Tl 5.739 1.989 7.959
Tl 5.739 5.532 7.959
O 1.459 1.728 5.211
O 7.328 0.000 7.299
Tl 1.845 1.771 7.674
Tl 7.533 0.000 5.211
Tl 1.845 5.749 7.674
O 0.257 3.760 2.088
Tl 0.052 3.760 0.000
Tl 5.739 5.532 2.463
O 7.328 0.000 3.123
Au 1.324 3.760 5.211
CELL_PARAMETERS angstrom
7.584 0.000 0.000
0.000 7.521 0.000
0.000 0.000 10.422
! **Raw formation energy**: -0.477 eV/atom
! **Theoretical density**: 7.17 g cm⁻³
! **Magnetization**: 0.0 μB per cell
! **Symmetry**: No. 59